(1)
SbOs2Se after structural relaxation. Source: the Alexandria database, functional PBE.

## Properties
DFT total energy, eV/cell: -26.27
Excess energy over the best structure of this formula in the dataset, meV per atom: 596.3
Symmetry: No. 71
E_form (uncorrected), eV/atom: 0.95

Lattice parameters (Å, degrees): 5.4687 5.4687 5.4687 148.58 125.34 64.42
With the nearest neighbours (Å) after each atom.
Fractional positions:
Os  0.0193  0.0193  0.0000  2 Se 2.60, 2 Sb 2.90
Os  0.4807  0.4807  0.0000  2 Se 2.60, 2 Sb 2.90
Sb  0.7500  0.2500  0.5000  4 Os 2.90, 4 Se 2.91, 2 Sb 2.96
Se  0.2500  0.7500  0.5000  4 Os 2.60

(2)
La2TbTl after structural relaxation. Source: the Alexandria database, functional PBE.

## Properties
DFT total energy, eV/cell: -34.64
Excess energy over the best structure of this formula in the dataset, meV per atom: 95.9
Symmetry: No. 11

Lattice parameters (Å, degrees): 4.7817 4.5841 12.0043 90.00 101.56 90.00
With the nearest neighbours (Å) after each atom.
Fractional positions:
La  0.5743  0.2500  0.1477  2 Tl 3.28, 4 La 3.34
La  0.4257  0.7500  0.8523  2 Tl 3.28, 4 La 3.34
La  0.0551  0.7500  0.1107  6 La 3.34-3.47, 2 Tl 3.53
La  0.9449  0.2500  0.8893  6 La 3.34-3.47, 2 Tl 3.53
Tb  0.6996  0.7500  0.3977  5 Tl 3.10-3.39
Tb  0.3004  0.2500  0.6023  5 Tl 3.10-3.39
Tl  0.1706  0.2500  0.3389  5 Tb 3.10-3.39, 2 La 3.28
Tl  0.8294  0.7500  0.6611  5 Tb 3.10-3.39, 2 La 3.28

(3)
Ca3LaTa after structural relaxation. Source: the Alexandria database, functional PBE.

## Properties
DFT total energy, eV/cell: -13.91
Excess energy over the best structure of this formula in the dataset, meV per atom: 854.6
Symmetry: No. 221

Lattice parameters (Å, degrees): 5.5387 5.5387 5.5387 90.00 90.00 90.00
With the nearest neighbours (Å) after each atom.
Fractional positions:
Ca  0.0000  0.5000  0.0000  2 La 2.77
Ca  0.0000  0.0000  0.5000  2 La 2.77
Ca  0.5000  0.0000  0.0000  2 La 2.77
La  0.0000  0.0000  0.0000  6 Ca 2.77
Ta  0.5000  0.5000  0.5000  12 Ca 3.92

(4)
CoReHOs2 after structural relaxation. Source: the Alexandria database, functional PBE.

## Properties
DFT total energy, eV/cell: -44.41
Excess energy over the best structure of this formula in the dataset, meV per atom: 0.0
Symmetry: No. 123

Lattice parameters (Å, degrees): 3.8787 3.8787 3.7495 90.00 90.00 90.00
With the nearest neighbours (Å) after each atom.
Fractional positions:
Re  0.5000  0.5000  0.5000  8 Os 2.70, 4 Co 2.74
Os  0.0000  0.5000  0.0000  2 H 1.94
Os  0.5000  0.0000  0.0000  2 H 1.94
H  0.0000  0.0000  0.0000  2 Co 1.87, 4 Os 1.94
Co  0.0000  0.0000  0.5000  2 H 1.87

(5)
Sr3Se after structural relaxation. Source: the Alexandria database, functional PBE.

## Properties
DFT total energy, eV/cell: -10.30
Excess energy over the best structure of this formula in the dataset, meV per atom: 468.1
Symmetry: No. 65
E_form (uncorrected), eV/atom: -0.44

Lattice parameters (Å, degrees): 6.2461 6.2461 4.3341 90.00 90.00 108.70
With the nearest neighbours (Å) after each atom.
Fractional positions:
Se  0.0000  0.0000  0.0000  10 Sr 3.64-3.80
Sr  0.0000  0.5000  0.5000  6 Sr 3.64-3.80, 4 Se 3.80
Sr  0.5000  0.0000  0.5000  6 Sr 3.64-3.80, 4 Se 3.80
Sr  0.5000  0.5000  0.0000  2 Se 3.64, 8 Sr 3.80

(6)
Cu2SiAgTe4 after structural relaxation. Source: the Alexandria database, functional PBE.

## Properties
DFT total energy, eV/cell: -29.75
Symmetry: No. 121
E_form (uncorrected), eV/atom: -0.09

Lattice parameters (Å, degrees): 6.1499 6.1503 7.3244 114.82 114.82 90.00
With the nearest neighbours (Å) after each atom.
Fractional positions:
Cu  0.7500  0.2500  0.5000  4 Te 2.58
Cu  0.2500  0.7500  0.5000  4 Te 2.58
Si  0.5000  0.5000  0.9999  4 Te 2.58
Ag  0.0002  0.0002  0.0003  4 Te 2.78
Te  0.6036  0.6036  0.7355  1 Si 2.58, 2 Cu 2.58, 1 Ag 2.78
Te  0.3966  0.8680  0.2647  1 Si 2.58, 2 Cu 2.58, 1 Ag 2.78
Te  0.8680  0.3967  0.2647  1 Si 2.58, 2 Cu 2.58, 1 Ag 2.78
Te  0.1319  0.1319  0.7355  1 Si 2.58, 2 Cu 2.58, 1 Ag 2.78

(7)
Dy2TmBi2Te2 after structural relaxation. Source: the Alexandria database, functional PBE.

## Properties
DFT total energy, eV/cell: -31.38
Symmetry: No. 139
E_form (uncorrected), eV/atom: -0.52

Lattice parameters (Å, degrees): 5.8203 5.8203 8.6299 109.71 109.71 90.00
With the nearest neighbours (Å) after each atom.
Fractional positions:
Dy  0.3853  0.3853  0.7707  1 Te 2.87
Dy  0.6147  0.6147  0.2293  1 Te 2.87
Tm  0.0000  0.0000  0.0000  4 Bi 2.91, 2 Te 2.98
Bi  0.0000  0.5000  0.0000  2 Tm 2.91
Bi  0.5000  0.0000  0.0000  2 Tm 2.91
Te  0.1962  0.1962  0.3925  1 Dy 2.87, 1 Tm 2.98
Te  0.8038  0.8038  0.6075  1 Dy 2.87, 1 Tm 2.98

(8)
GaBRu3 after structural relaxation. Source: the Alexandria database, functional PBE.

## Properties
DFT total energy, eV/cell: -37.40
Excess energy over the best structure of this formula in the dataset, meV per atom: 71.7
Symmetry: No. 221

Lattice parameters (Å, degrees): 4.1209 4.1209 4.1209 90.00 90.00 90.00
With the nearest neighbours (Å) after each atom.
Fractional positions:
Ru  0.0000  0.5000  0.0000  2 B 2.06
Ru  0.0000  0.0000  0.5000  2 B 2.06
Ru  0.5000  0.0000  0.0000  2 B 2.06
B  0.0000  0.0000  0.0000  6 Ru 2.06
Ga  0.5000  0.5000  0.5000  12 Ru 2.91